Material: Zr2TaTc
Method: DFT, GGA-PBE
State: relaxed

POSCAR file:
```
Zr2TaTc
1.0
-0.412 2.695 -1.242
-0.591 -2.235 -1.905
-8.802 -0.058 2.797
Ta Zr Tc
1 2 1
Direct
0.500 0.500 0.250
0.000 0.000 0.981
0.000 0.000 0.519
0.500 0.500 0.750
```

Density: 10.00 g/cm3
ΔE_f: -0.0044 eV/atom
Total moment: 0.0 μB per cell
Excess energy over the best structure of this formula in the dataset: 187.3 meV per atom
SG: Cmmm

---

Material: MgC3
Method: DFT, GGA-PBE
State: relaxed

POSCAR file:
```
MgC3
1.0
-2.179 1.526 -0.321
-1.020 -0.764 3.294
1.835 2.884 1.249
C Mg
3 1
Direct
0.000 0.750 0.059
0.500 0.750 0.750
0.000 0.750 0.441
0.500 0.250 0.250
```

Density: 2.91 g/cm3
ΔE_f: 1.4288 eV/atom
Total moment: 0.0 μB per cell
Excess energy over the best structure of this formula in the dataset: 764.2 meV per atom
SG: P2/m

---

Material: NaNd2Cd
Method: DFT, GGA-PBE
State: relaxed

POSCAR file:
```
NaNd2Cd
1.0
5.552 0.000 0.000
2.776 4.808 0.000
2.776 1.603 4.533
Nd Cd Na
2 1 1
Direct
0.750 0.750 0.750
0.250 0.250 0.250
0.500 0.500 0.500
0.000 0.000 0.000
```

Density: 5.82 g/cm3
ΔE_f: 0.0001 eV/atom
Total moment: 0.8 μB per cell
Excess energy over the best structure of this formula in the dataset: 19.5 meV per atom
SG: Fm-3m

---

Material: BaZrMo4
Method: DFT, GGA-PBE
State: relaxed

POSCAR file:
```
BaZrMo4
1.0
0.000 3.918 3.918
3.918 0.000 3.918
3.918 3.918 0.000
Mo Ba Zr
4 1 1
Direct
0.375 0.875 0.375
0.375 0.375 0.375
0.875 0.375 0.375
0.375 0.375 0.875
0.000 0.000 0.000
0.750 0.750 0.750
```

Density: 8.45 g/cm3
ΔE_f: 0.5863 eV/atom
Total moment: 0.0 μB per cell
SG: F-43m